LiLa2TbSe5: relaxed, PBE.

Computed properties:
The crystal system is orthorhombic. The calculation puts the total energy at -100.99 eV/cell. Its space group is Cmc2_1, No. 36. The calculated volume is 25.7 Å³/atom. Its formation energy from raw total energies is -1852.6 meV/atom.

a = 8.9724 Å, b = 8.9724 Å, c = 12.5734 Å
α = 90.00°, β = 90.00°, γ = 152.85°
Sites, in units of the cell vectors:
Li 0.0160 0.9840 0.5000
Li 0.9840 0.0160 0.0000
La 0.3750 0.6250 0.3192
La 0.3920 0.6080 0.7052
La 0.6080 0.3920 0.2052
La 0.6250 0.3750 0.8192
Tb 0.3026 0.6974 0.0235
Tb 0.6974 0.3026 0.5235
Se 0.9999 0.0001 0.3030
Se 0.0001 0.9999 0.8030
Se 0.1376 0.8624 0.0193
Se 0.1921 0.8079 0.3667
Se 0.2132 0.7868 0.6811
Se 0.4533 0.5467 0.0897
Se 0.5467 0.4533 0.5897
Se 0.7868 0.2132 0.1811
Se 0.8079 0.1921 0.8667
Se 0.8624 0.1376 0.5193

---

LiLa2Tb3Se6: relaxed, PBE.

Computed properties:
The crystal system is monoclinic. The calculation puts the total energy at -68.43 eV/cell. Its space group is C2/m, No. 12. The calculated volume is 25.5 Å³/atom. Its formation energy from raw total energies is -1821.6 meV/atom.

a = 7.1924 Å, b = 7.1924 Å, c = 7.2477 Å
α = 99.57°, β = 99.57°, γ = 120.11°
Sites, in units of the cell vectors:
Li 0.0000 0.0000 0.0000
La 0.3347 0.6653 0.0000
La 0.6653 0.3347 0.0000
Tb 0.1681 0.8319 0.5000
Tb 0.5000 0.5000 0.5000
Tb 0.8319 0.1681 0.5000
Se 0.0852 0.4057 0.2573
Se 0.2333 0.2333 0.7435
Se 0.4057 0.0852 0.2573
Se 0.5943 0.9148 0.7427
Se 0.7667 0.7667 0.2565
Se 0.9148 0.5943 0.7427

---

Li2LaTbSe4: relaxed, PBE.

Computed properties:
The crystal system is monoclinic. The calculation puts the total energy at -40.96 eV/cell. Its space group is P2/m, No. 10. The calculated volume is 24.8 Å³/atom. Its formation energy from raw total energies is -1704.4 meV/atom.

a = 6.9388 Å, b = 4.1956 Å, c = 7.2750 Å
α = 90.00°, β = 110.43°, γ = 90.00°
Sites, in units of the cell vectors:
Li 0.0000 0.0000 0.0000
Li 0.0000 0.5000 0.5000
La 0.5000 0.0000 0.5000
Tb 0.5000 0.5000 0.0000
Se 0.2410 0.5000 0.2368
Se 0.2447 0.0000 0.7576
Se 0.7553 0.0000 0.2424
Se 0.7590 0.5000 0.7632

---

LiLaTb2Se4: relaxed, PBE.

Computed properties:
The crystal system is monoclinic. The calculation puts the total energy at -44.35 eV/cell. Its space group is P2/m, No. 10. The calculated volume is 25.2 Å³/atom. Its formation energy from raw total energies is -1788.3 meV/atom.

a = 7.1315 Å, b = 4.1266 Å, c = 7.2459 Å
α = 90.00°, β = 109.22°, γ = 90.00°
Sites, in units of the cell vectors:
Li 0.0000 0.0000 0.0000
La 0.5000 0.5000 0.0000
Tb 0.0000 0.5000 0.5000
Tb 0.5000 0.0000 0.5000
Se 0.2368 0.0000 0.7426
Se 0.2428 0.5000 0.2529
Se 0.7572 0.5000 0.7471
Se 0.7632 0.0000 0.2574

---

LiLa3Tb4Se8: relaxed, PBE.

Computed properties:
The crystal system is trigonal. The calculation puts the total energy at -92.41 eV/cell. Its space group is R-3m, No. 166. The calculated volume is 25.8 Å³/atom. Its formation energy from raw total energies is -1832.6 meV/atom.

a = 8.3808 Å, b = 8.3808 Å, c = 8.3808 Å
α = 59.60°, β = 59.60°, γ = 59.60°
Sites, in units of the cell vectors:
Li 0.0000 0.0000 0.0000
La 0.0000 0.5000 0.5000
La 0.5000 0.0000 0.5000
La 0.5000 0.5000 0.0000
Tb 0.0000 0.0000 0.5000
Tb 0.0000 0.5000 0.0000
Tb 0.5000 0.0000 0.0000
Tb 0.5000 0.5000 0.5000
Se 0.2366 0.7525 0.7525
Se 0.2445 0.2445 0.2445
Se 0.2475 0.2475 0.7634
Se 0.2475 0.7634 0.2475
Se 0.7525 0.2366 0.7525
Se 0.7525 0.7525 0.2366
Se 0.7555 0.7555 0.7555
Se 0.7634 0.2475 0.2475

---

LiLaTeSe: relaxed, PBE.

Computed properties:
The crystal system is tetragonal. The calculation puts the total energy at -38.52 eV/cell. Its space group is P4/nmm, No. 129. The calculated volume is 28.0 Å³/atom. Its formation energy from raw total energies is -1448.1 meV/atom.

a = 4.8029 Å, b = 4.8029 Å, c = 9.7082 Å
α = 90.00°, β = 90.00°, γ = 90.00°
Sites, in units of the cell vectors:
Li 0.2500 0.7500 0.0000
Li 0.7500 0.2500 0.0000
La 0.2500 0.2500 0.3285
La 0.7500 0.7500 0.6715
Te 0.2500 0.2500 0.8447
Te 0.7500 0.7500 0.1553
Se 0.2500 0.7500 0.5000
Se 0.7500 0.2500 0.5000

---

LiLa2ThSe5: relaxed, PBE.

Computed properties:
The crystal system is orthorhombic. The calculation puts the total energy at -105.34 eV/cell. Its space group is Cmc2_1, No. 36. The calculated volume is 26.2 Å³/atom. Its formation energy from raw total energies is -1784.0 meV/atom.

a = 9.0676 Å, b = 9.0676 Å, c = 12.7108 Å
α = 90.00°, β = 90.00°, γ = 153.14°
Sites, in units of the cell vectors:
Li 0.0125 0.9875 0.5000
Li 0.9875 0.0125 0.0000
La 0.3751 0.6249 0.3260
La 0.3899 0.6101 0.7137
La 0.6101 0.3899 0.2137
La 0.6249 0.3751 0.8260
Th 0.3036 0.6964 0.0298
Th 0.6964 0.3036 0.5298
Se 0.0017 0.9983 0.8054
Se 0.1380 0.8620 0.0263
Se 0.1889 0.8111 0.3685
Se 0.2099 0.7901 0.6924
Se 0.4562 0.5438 0.0910
Se 0.5438 0.4562 0.5910
Se 0.7901 0.2099 0.1924
Se 0.8111 0.1889 0.8685
Se 0.8620 0.1380 0.5263
Se 0.9983 0.0017 0.3054

---

Li2LaThSe4: relaxed, PBE.

Computed properties:
The crystal system is monoclinic. The calculation puts the total energy at -42.84 eV/cell. Its space group is P2/m, No. 10. The calculated volume is 25.0 Å³/atom. Its formation energy from raw total energies is -1591.5 meV/atom.

a = 6.9992 Å, b = 4.1835 Å, c = 7.2815 Å
α = 90.00°, β = 110.11°, γ = 90.00°
Sites, in units of the cell vectors:
Li 0.0000 0.0000 0.0000
Li 0.0000 0.5000 0.5000
La 0.5000 0.0000 0.5000
Th 0.5000 0.5000 0.0000
Se 0.2334 0.0000 0.7507
Se 0.2333 0.5000 0.2367
Se 0.7666 0.0000 0.2493
Se 0.7667 0.5000 0.7633